# CoRePO (GGA+U, optimized geometry)
data_CoRePO
_chemical_formula_sum 'Co2 Re2 P2 O2'
_cell_length_a 3.479
_cell_length_b 3.479
_cell_length_c 7.040
_cell_angle_alpha 90.00
_cell_angle_beta 90.00
_cell_angle_gamma 90.00
_space_group_name_H-M_alt 'P 1'
_space_group_IT_number 1
loop_
_space_group_symop_operation_xyz
'x,y,z'
loop_
_atom_site_label
_atom_site_type_symbol
_atom_site_fract_x
_atom_site_fract_y
_atom_site_fract_z
Co1 Co 0.250 0.750 0.000
Co2 Co 0.750 0.250 0.000
Re1 Re 0.250 0.250 0.312
Re2 Re 0.750 0.750 0.688
P1 P 0.250 0.250 0.813
P2 P 0.750 0.750 0.187
O1 O 0.250 0.750 0.500
O2 O 0.750 0.250 0.500
# energy above the most stable polymorph in this dataset = 0.236 eV/atom
# space-group type = P4/nmm (129)